VASP calculation (PBE) on crystalline HfInSeCl2 at its relaxed geometry.

Cell lengths 4.770, 4.770, 6.228 Å; angles 90.00, 90.00, 90.00 degrees
Atoms (fractional coordinates):
Hf: 0.000 0.000 0.000
In: 0.000 0.000 0.500
Se: 0.500 0.500 0.500
Cl: 0.000 0.500 0.000
Cl: 0.500 0.000 0.000

Formation energy (no corrections): -2.607 eV/f.u.
DOS at the Fermi energy: 4.997 states/eV/f.u.